# 1
Material: YRe4Se
Method: DFT, PBE
State: relaxed

final energy = -9.582 eV per atom
crystal system = cubic
space-group type = F-43m
raw formation energy = 0.3753 eV/atom
total magnetic moment = 0.00 μB per atom

Cell lengths 5.3421, 5.3421, 5.3421 Å; angles 60.00, 60.00, 60.00 degrees
Fractional coordinates of all 6 atoms:
Y1 0.0000 0.0000 0.0000
Re1 0.8724 0.3759 0.3759
Re2 0.3759 0.3759 0.8724
Re3 0.3759 0.8724 0.3759
Re4 0.3759 0.3759 0.3759
Se1 0.7500 0.7500 0.7500

# 2
Material: YReSe
Method: DFT, PBE
State: relaxed

final energy = -7.634 eV per atom
crystal system = hexagonal
space-group type = P-6m2
raw formation energy = -0.1685 eV/atom
total magnetic moment = 0.00 μB per atom

Cell lengths 4.3836, 4.3836, 3.5920 Å; angles 90.00, 90.00, 120.00 degrees
Fractional coordinates of all 3 atoms:
Re1 0.0000 0.0000 0.1667
Se1 0.6667 0.3333 0.1667
Y1 0.3333 0.6667 0.6666

# 3
Material: YRe2Se
Method: DFT, PBE
State: relaxed

final energy = -8.223 eV per atom
crystal system = tetragonal
space-group type = I-4m2
raw formation energy = 0.4887 eV/atom
total magnetic moment = 0.00 μB per atom

Cell lengths 4.8460, 4.8460, 4.8460 Å; angles 125.81, 125.81, 80.20 degrees
Fractional coordinates of all 4 atoms:
Re1 0.0000 0.0000 0.0000
Re2 0.2500 0.7500 0.5000
Se1 0.5000 0.5000 0.0000
Y1 0.7500 0.2500 0.5000

# 4
Material: YRe2Se
Method: DFT, PBE
State: relaxed

final energy = -8.435 eV per atom
crystal system = tetragonal
space-group type = I-42d
raw formation energy = 0.2766 eV/atom
total magnetic moment = 0.00 μB per atom

Cell lengths 3.8556, 3.8556, 11.1591 Å; angles 80.05, 80.05, 90.00 degrees
Fractional coordinates of all 8 atoms:
Y1 0.0000 0.0000 0.0000
Y2 0.7500 0.2500 0.5000
Re1 0.5717 0.1250 0.2500
Re2 0.1783 0.6250 0.2500
Re3 0.3750 0.4283 0.7500
Re4 0.8750 0.8217 0.7500
Se1 0.5000 0.5000 0.0000
Se2 0.2500 0.7500 0.5000